Entry 1:
The following is a PBE calculation of Be2PdPt after structural relaxation, from Alexandria.

POSCAR file:
```
Be2PdPt
1.0
1.693 0.978 5.123
-1.693 0.978 5.123
0.000 -1.955 5.123
Be Pd Pt
2 1 1
Direct
0.000 0.000 0.000
0.167 0.167 0.167
0.757 0.757 0.757
0.577 0.577 0.577
```

Output
Energy: -20.18 eV/f.u.
Energy above the lowest structure with this stoichiometry: 321 meV/atom
DOS(E_F): 1.46 states/eV/f.u.
Symmetry: R3m
Crystal system: trigonal
Formation enthalpy at 0 K: -0.373 eV/atom

***

Entry 2:
The following is a PBE calculation of BePdPt after structural relaxation, from Alexandria.

POSCAR file:
```
BePdPt
1.0
2.777 0.000 0.000
-1.389 2.405 0.000
0.000 0.000 5.951
Be Pd Pt
1 1 1
Direct
0.000 0.000 0.000
0.667 0.333 0.292
0.333 0.667 0.708
```

Output
Energy: -16.30 eV/f.u.
Energy above the lowest structure with this stoichiometry: 126 meV/atom
DOS(E_F): 1.40 states/eV/f.u.
Symmetry: P3m1
Crystal system: trigonal
Formation enthalpy at 0 K: -0.446 eV/atom

***

Entry 3:
The following is a PBE calculation of BePdPt after structural relaxation, from Alexandria.

POSCAR file:
```
BePdPt
1.0
1.961 -4.985 0.000
1.961 4.985 0.000
0.000 0.000 3.932
Be Pd Pt
2 2 2
Direct
0.000 0.000 0.000
0.500 0.500 0.500
0.145 0.855 0.500
0.855 0.145 0.500
0.357 0.643 0.000
0.643 0.357 0.000
```

Output
Energy: -16.63 eV/f.u.
Energy above the lowest structure with this stoichiometry: 15 meV/atom
DOS(E_F): 1.51 states/eV/f.u.
Symmetry: Cmmm
Crystal system: orthorhombic
Formation enthalpy at 0 K: -0.557 eV/atom

***

Entry 4:
The following is a PBE calculation of BePdPt6 after structural relaxation, from Alexandria.

POSCAR file:
```
BePdPt6
1.0
3.904 0.000 0.000
0.000 3.904 0.000
0.000 0.000 7.827
Be Pd Pt
1 1 6
Direct
0.000 0.000 0.000
0.000 0.000 0.500
0.000 0.500 0.237
0.000 0.500 0.763
0.500 0.000 0.237
0.500 0.000 0.763
0.500 0.500 0.000
0.500 0.500 0.500
```

Output
Energy: -46.47 eV/f.u.
DOS(E_F): 9.19 states/eV/f.u.
Symmetry: P4/mmm
Crystal system: tetragonal
Formation enthalpy at 0 K: -0.163 eV/atom

***

Entry 5:
The following is a PBE calculation of Be5PdPt4 after structural relaxation, from Alexandria.

POSCAR file:
```
Be5PdPt4
1.0
2.794 0.000 0.000
0.000 2.794 0.000
0.000 0.000 14.801
Be Pd Pt
5 1 4
Direct
0.000 0.000 0.000
0.000 0.000 0.201
0.000 0.000 0.400
0.000 0.000 0.600
0.000 0.000 0.799
0.500 0.500 0.500
0.500 0.500 0.101
0.500 0.500 0.302
0.500 0.500 0.698
0.500 0.500 0.899
```

Output
Energy: -55.32 eV/f.u.
DOS(E_F): 2.17 states/eV/f.u.
Symmetry: P4/mmm
Crystal system: tetragonal
Formation enthalpy at 0 K: -0.734 eV/atom

***

Entry 6:
The following is a PBE calculation of BePdPt after structural relaxation, from Alexandria.

POSCAR file:
```
BePdPt
1.0
4.305 0.000 0.000
0.000 1.399 6.470
0.000 -1.399 6.470
Be Pd Pt
2 2 2
Direct
0.000 0.000 0.000
0.500 0.139 0.139
0.000 0.648 0.648
0.500 0.784 0.784
0.000 0.357 0.357
0.500 0.497 0.497
```

Output
Energy: -16.45 eV/f.u.
Energy above the lowest structure with this stoichiometry: 76 meV/atom
DOS(E_F): 2.34 states/eV/f.u.
Symmetry: Amm2
Crystal system: orthorhombic
Formation enthalpy at 0 K: -0.495 eV/atom

***

Entry 7:
The following is a PBE calculation of BePdPt after structural relaxation, from Alexandria.

POSCAR file:
```
BePdPt
1.0
5.169 -1.388 0.000
5.169 1.388 0.000
-1.503 0.000 5.358
Be Pd Pt
2 2 2
Direct
0.000 0.000 0.000
0.000 0.000 0.500
0.355 0.355 0.678
0.645 0.645 0.322
0.359 0.359 0.178
0.641 0.641 0.822
```

Output
Energy: -16.67 eV/f.u.
Energy above the lowest structure with this stoichiometry: 0 meV/atom
DOS(E_F): 0.71 states/eV/f.u.
Symmetry: C2/m
Crystal system: monoclinic
Formation enthalpy at 0 K: -0.572 eV/atom

***

Entry 8:
The following is a PBE calculation of Be5Pd4Pt after structural relaxation, from Alexandria.

POSCAR file:
```
Be5Pd4Pt
1.0
2.812 0.000 0.000
0.000 2.812 0.000
0.000 0.000 14.402
Be Pd Pt
5 4 1
Direct
0.000 0.000 0.000
0.000 0.000 0.199
0.000 0.000 0.399
0.000 0.000 0.601
0.000 0.000 0.801
0.500 0.500 0.100
0.500 0.500 0.299
0.500 0.500 0.701
0.500 0.500 0.900
0.500 0.500 0.500
```

Output
Energy: -51.74 eV/f.u.
DOS(E_F): 3.06 states/eV/f.u.
Symmetry: P4/mmm
Crystal system: tetragonal
Formation enthalpy at 0 K: -0.630 eV/atom

***

Entry 9:
The following is a PBE calculation of Be2PdPt after structural relaxation, from Alexandria.

POSCAR file:
```
Be2PdPt
1.0
-1.952 1.952 7.205
1.952 -1.952 7.205
1.952 1.952 -7.205
Be Pd Pt
4 2 2
Direct
0.110 0.625 0.985
0.375 0.360 0.485
0.640 0.125 0.015
0.875 0.890 0.515
0.250 0.750 0.500
0.500 0.500 0.000
0.000 0.000 0.000
0.750 0.250 0.500
```

Output
Energy: -19.15 eV/f.u.
Energy above the lowest structure with this stoichiometry: 579 meV/atom
DOS(E_F): 1.34 states/eV/f.u.
Symmetry: I-42d
Crystal system: tetragonal
Formation enthalpy at 0 K: -0.115 eV/atom

***

Entry 10:
The following is a PBE calculation of BePdPt3 after structural relaxation, from Alexandria.

POSCAR file:
```
BePdPt3
1.0
4.225 0.000 0.000
0.000 4.225 0.000
0.000 0.000 4.225
Be Pd Pt
1 1 3
Direct
0.000 0.000 0.000
0.500 0.500 0.500
0.000 0.000 0.500
0.000 0.500 0.000
0.500 0.000 0.000
```

Output
Energy: -26.64 eV/f.u.
Energy above the lowest structure with this stoichiometry: 412 meV/atom
DOS(E_F): 3.97 states/eV/f.u.
Symmetry: Pm-3m
Crystal system: cubic
Formation enthalpy at 0 K: 0.080 eV/atom

***

Entry 11:
The following is a PBE calculation of Be2PdPt3 after structural relaxation, from Alexandria.

POSCAR file:
```
Be2PdPt3
1.0
2.811 0.000 0.000
0.000 2.811 0.000
0.000 0.000 9.791
Be Pd Pt
2 1 3
Direct
0.000 0.000 0.155
0.000 0.000 0.845
0.000 0.000 0.500
0.500 0.500 0.000
0.500 0.500 0.289
0.500 0.500 0.711
```

Output
Energy: -34.32 eV/f.u.
DOS(E_F): 2.68 states/eV/f.u.
Symmetry: P4/mmm
Crystal system: tetragonal
Formation enthalpy at 0 K: -0.591 eV/atom

***

Entry 12:
The following is a PBE calculation of BePdPt3 after structural relaxation, from Alexandria.

POSCAR file:
```
BePdPt3
1.0
5.888 0.000 0.000
-2.944 5.099 0.000
0.000 0.000 4.876
Be Pd Pt
2 2 6
Direct
0.000 0.000 0.000
0.000 0.000 0.500
0.333 0.667 0.250
0.667 0.333 0.750
0.181 0.362 0.750
0.181 0.819 0.750
0.362 0.181 0.250
0.638 0.819 0.750
0.819 0.181 0.250
0.819 0.638 0.250
```

Output
Energy: -27.61 eV/f.u.
Energy above the lowest structure with this stoichiometry: 218 meV/atom
DOS(E_F): 7.48 states/eV/f.u.
Symmetry: P6_3/mmc
Crystal system: hexagonal
Formation enthalpy at 0 K: -0.113 eV/atom

***

Entry 13:
The following is a PBE calculation of BePdPt after structural relaxation, from Alexandria.

POSCAR file:
```
BePdPt
1.0
6.869 0.000 0.000
-3.435 5.949 0.000
0.000 0.000 2.882
Be Pd Pt
3 3 3
Direct
0.000 0.000 0.000
0.333 0.667 0.500
0.667 0.333 0.500
0.000 0.397 0.000
0.397 0.000 0.000
0.603 0.603 0.000
0.000 0.737 0.500
0.263 0.263 0.500
0.737 0.000 0.500
```

Output
Energy: -16.29 eV/f.u.
Energy above the lowest structure with this stoichiometry: 130 meV/atom
DOS(E_F): 0.94 states/eV/f.u.
Symmetry: P-62m
Crystal system: hexagonal
Formation enthalpy at 0 K: -0.442 eV/atom

***

Entry 14:
The following is a PBE calculation of BePdPt after structural relaxation, from Alexandria.

POSCAR file:
```
BePdPt
1.0
2.792 0.000 0.000
0.000 4.025 0.000
0.000 0.000 7.030
Be Pd Pt
2 2 2
Direct
0.000 0.000 0.000
0.000 0.500 0.238
0.000 0.000 0.695
0.500 0.500 0.942
0.500 0.000 0.253
0.500 0.500 0.516
```

Output
Energy: -16.36 eV/f.u.
Energy above the lowest structure with this stoichiometry: 105 meV/atom
DOS(E_F): 2.32 states/eV/f.u.
Symmetry: Pmm2
Crystal system: orthorhombic
Formation enthalpy at 0 K: -0.467 eV/atom

***

Entry 15:
The following is a PBE calculation of BePdPt after structural relaxation, from Alexandria.

POSCAR file:
```
BePdPt
1.0
1.964 -4.990 0.000
1.964 4.990 0.000
0.000 0.000 3.922
Be Pd Pt
2 2 2
Direct
0.250 0.750 0.750
0.750 0.250 0.250
0.105 0.895 0.250
0.895 0.105 0.750
0.392 0.608 0.250
0.608 0.392 0.750
```

Output
Energy: -16.64 eV/f.u.
Energy above the lowest structure with this stoichiometry: 13 meV/atom
DOS(E_F): 1.55 states/eV/f.u.
Symmetry: Cmcm
Crystal system: orthorhombic
Formation enthalpy at 0 K: -0.559 eV/atom

***

Entry 16:
The following is a PBE calculation of BePdPt3 after structural relaxation, from Alexandria.

POSCAR file:
```
BePdPt3
1.0
4.818 0.000 0.000
0.000 4.818 0.000
0.000 0.000 4.818
Be Pd Pt
1 1 3
Direct
0.000 0.000 0.000
0.500 0.500 0.500
0.000 0.500 0.500
0.500 0.000 0.500
0.500 0.500 0.000
```

Output
Energy: -18.69 eV/f.u.
Energy above the lowest structure with this stoichiometry: 2001 meV/atom
DOS(E_F): 9.17 states/eV/f.u.
Symmetry: Pm-3m
Crystal system: cubic
Formation enthalpy at 0 K: 1.670 eV/atom

***

Entry 17:
The following is a PBE calculation of BePdPtRh2 after structural relaxation, from Alexandria.

POSCAR file:
```
BePdPtRh2
1.0
4.768 0.000 0.000
0.000 4.768 0.000
0.000 0.000 3.905
Be Pd Pt Rh
1 1 1 2
Direct
0.000 0.000 0.000
0.000 0.000 0.500
0.500 0.500 0.000
0.000 0.500 0.500
0.500 0.000 0.500
```

Output
Energy: -23.65 eV/f.u.
DOS(E_F): 7.59 states/eV/f.u.
Symmetry: P4/mmm
Crystal system: tetragonal
Formation enthalpy at 0 K: 1.202 eV/atom

***

Entry 18:
The following is a PBE calculation of BePdPt2S after structural relaxation, from Alexandria.

POSCAR file:
```
BePdPt2S
1.0
4.997 0.000 0.000
0.000 4.997 0.000
0.000 0.000 4.232
Be Pd Pt S
1 1 2 1
Direct
0.000 0.000 0.000
0.500 0.500 0.500
0.000 0.500 0.500
0.500 0.000 0.500
0.500 0.500 0.000
```

Output
Raw formation energy: 1.28 eV per atom
Energy: -18.71 eV/f.u.
DOS(E_F): 3.58 states/eV/f.u.
Symmetry: P4/mmm
Crystal system: tetragonal

***

Entry 19:
The following is a PBE calculation of ScBePd2Pt after structural relaxation, from Alexandria.

POSCAR file:
```
ScBePd2Pt
1.0
4.258 0.000 0.000
0.000 4.258 0.000
0.000 0.000 4.301
Sc Be Pd Pt
1 1 2 1
Direct
0.000 0.000 0.000
0.500 0.500 0.500
0.000 0.500 0.500
0.500 0.000 0.500
0.500 0.500 0.000
```

Output
Energy: -29.72 eV/f.u.
DOS(E_F): 3.15 states/eV/f.u.
Symmetry: P4/mmm
Crystal system: tetragonal
Formation enthalpy at 0 K: -0.647 eV/atom

***

Entry 20:
The following is a PBE calculation of ScBePdPt2 after structural relaxation, from Alexandria.

POSCAR file:
```
ScBePdPt2
1.0
4.290 0.000 0.000
0.000 4.290 0.000
0.000 0.000 4.247
Sc Be Pd Pt
1 1 1 2
Direct
0.000 0.000 0.000
0.500 0.500 0.500
0.500 0.500 0.000
0.000 0.500 0.500
0.500 0.000 0.500
```

Output
Energy: -30.79 eV/f.u.
DOS(E_F): 2.95 states/eV/f.u.
Symmetry: P4/mmm
Crystal system: tetragonal
Formation enthalpy at 0 K: -0.692 eV/atom

***

Entry 21:
The following is a PBE calculation of ScBePdPt after structural relaxation, from Alexandria.

POSCAR file:
```
ScBePdPt
1.0
0.000 3.107 3.107
3.107 0.000 3.107
3.107 3.107 0.000
Sc Be Pd Pt
1 1 1 1
Direct
0.000 0.000 0.000
0.500 0.500 0.500
0.250 0.250 0.250
0.750 0.750 0.750
```

Output
Energy: -24.32 eV/f.u.
DOS(E_F): 2.37 states/eV/f.u.
Symmetry: F-43m
Crystal system: cubic
Formation enthalpy at 0 K: -0.757 eV/atom

***

Entry 22:
The following is a PBE calculation of Sm2Be3PdPt12 after structural relaxation, from Alexandria.

POSCAR file:
```
Sm2Be3PdPt12
1.0
4.010 2.315 5.949
-4.010 2.315 5.949
0.000 -4.630 5.949
Sm Be Pd Pt
2 3 1 12
Direct
0.107 0.107 0.107
0.893 0.893 0.893
0.000 0.500 0.500
0.500 0.000 0.500
0.500 0.500 0.000
0.500 0.500 0.500
0.107 0.635 0.635
0.149 0.149 0.602
0.149 0.602 0.149
0.365 0.365 0.893
0.365 0.893 0.365
0.398 0.851 0.851
0.602 0.149 0.149
0.635 0.107 0.635
0.635 0.635 0.107
0.851 0.398 0.851
0.851 0.851 0.398
0.893 0.365 0.365
```

Output
Energy: -104.03 eV/f.u.
DOS(E_F): 9.63 states/eV/f.u.
Symmetry: R-3m
Crystal system: trigonal
Formation enthalpy at 0 K: -0.318 eV/atom

***

Entry 23:
The following is a PBE calculation of SmBe2Pd2Pt after structural relaxation, from Alexandria.

POSCAR file:
```
SmBe2Pd2Pt
1.0
4.246 0.000 0.000
0.000 4.246 0.000
0.000 0.000 5.611
Sm Be Pd Pt
1 2 2 1
Direct
0.000 0.000 0.000
0.000 0.500 0.500
0.500 0.000 0.500
0.500 0.500 0.253
0.500 0.500 0.747
0.000 0.000 0.500
```

Output
Energy: -31.98 eV/f.u.
DOS(E_F): 1.56 states/eV/f.u.
Symmetry: P4/mmm
Crystal system: tetragonal
Formation enthalpy at 0 K: -0.564 eV/atom

***

Entry 24:
The following is a PBE calculation of Sm2Be3PdPt4 after structural relaxation, from Alexandria.

POSCAR file:
```
Sm2Be3PdPt4
1.0
4.002 0.000 0.000
0.000 4.002 0.000
0.000 0.000 10.451
Sm Be Pd Pt
2 3 1 4
Direct
0.000 0.500 0.245
0.500 0.000 0.755
0.000 0.500 0.885
0.500 0.000 0.115
0.500 0.500 0.500
0.000 0.000 0.500
0.000 0.000 0.000
0.000 0.500 0.667
0.500 0.000 0.333
0.500 0.500 0.000
```

Output
Energy: -58.41 eV/f.u.
DOS(E_F): 3.54 states/eV/f.u.
Symmetry: P-4m2
Crystal system: tetragonal
Formation enthalpy at 0 K: -0.844 eV/atom

***

Entry 25:
The following is a PBE calculation of SrBePdPt2 after structural relaxation, from Alexandria.

POSCAR file:
```
SrBePdPt2
1.0
4.411 0.000 0.000
0.000 4.411 0.000
0.000 0.000 4.509
Sr Be Pd Pt
1 1 1 2
Direct
0.000 0.000 0.000
0.500 0.500 0.500
0.500 0.500 0.000
0.000 0.500 0.500
0.500 0.000 0.500
```

Output
Energy: -25.67 eV/f.u.
DOS(E_F): 0.73 states/eV/f.u.
Symmetry: P4/mmm
Crystal system: tetragonal
Formation enthalpy at 0 K: -0.597 eV/atom